A relaxed Y2BiCl crystal, computed with PBE-GGA.

Cell: 6.4159 6.4159 13.8905 Å, 90.00 90.00 90.00°
Last column: nearest neighbours and their distance in Å.
Sites, in units of the cell vectors:
Y 0.2106 0.2500 0.1250  2 Cl 2.72, 2 Bi 3.01
Y 0.2500 0.7106 0.3750  2 Cl 2.72, 2 Bi 3.01
Y 0.2500 0.7894 0.8750  2 Cl 2.72, 2 Bi 3.01
Y 0.2894 0.2500 0.6250  2 Cl 2.72, 2 Bi 3.01
Y 0.7106 0.7500 0.6250  2 Cl 2.72, 2 Bi 3.01
Y 0.7500 0.2106 0.8750  2 Cl 2.72, 2 Bi 3.01
Y 0.7500 0.2894 0.3750  2 Cl 2.72, 2 Bi 3.01
Y 0.7894 0.7500 0.1250  2 Cl 2.72, 2 Bi 3.01
Bi 0.0000 0.0000 0.5000  4 Y 3.01
Bi 0.0000 0.5000 0.7500  4 Y 3.01
Bi 0.5000 0.0000 0.2500  4 Y 3.01
Bi 0.5000 0.5000 0.0000  4 Y 3.01
Cl 0.0000 0.0000 0.0000  4 Y 2.72
Cl 0.0000 0.5000 0.2500  4 Y 2.72
Cl 0.5000 0.0000 0.7500  4 Y 2.72
Cl 0.5000 0.5000 0.5000  4 Y 2.72

Volume ... 35.74 A^3/atom
Excess energy over the best structure of this formula in the dataset ... 1.20 eV/f.u.
M_tot ... 0.000 μB per formula unit
VASP energy ... -5.30 eV/atom
Formation energy without anion corrections ... -638 meV/atom